Entry 1:
DFT (GGA-PBE) results for LiMgNiH6 after structural relaxation.

Cell lengths 4.462, 4.462, 4.226 Å; angles 90.01, 90.00, 59.99 degrees
Element x y z (fractional)
Li (0.667, 0.667, 0.500)
Mg (0.000, 0.000, 0.000)
Ni (0.333, 0.333, 0.500)
H (0.057, 0.338, 0.272)
H (0.338, 0.057, 0.728)
H (0.605, 0.338, 0.728)
H (0.057, 0.605, 0.728)
H (0.338, 0.605, 0.272)
H (0.605, 0.057, 0.272)

Calculated values
Total moment, μB per formula unit: 0.000
Final energy, eV/atom: -3.361
Space group: P312 (149)
Fermi-level density of states, states/eV/cell: 1.18

***

Entry 2:
DFT (GGA-PBE) results for SnCl after structural relaxation.

Cell lengths 5.237, 5.237, 6.162 Å; angles 90.00, 90.00, 120.00 degrees
Element x y z (fractional)
Sn (0.333, 0.667, 0.750)
Sn (0.667, 0.333, 0.250)
Cl (0.333, 0.667, 0.250)
Cl (0.667, 0.333, 0.750)

Calculated values
Total moment, μB per formula unit: 0.000
Formation energy (no corrections), meV/atom: -71
Final energy, eV/atom: -2.996
Space group: P6_3/mmc (194)
Fermi-level density of states, states/eV/cell: 3.93

***

Entry 3:
DFT (GGA-PBE) results for As2PtCl after structural relaxation.

Cell lengths 5.410, 5.410, 5.410 Å; angles 144.06, 108.76, 82.46 degrees
Element x y z (fractional)
As (0.975, 0.975, 0.000)
As (0.525, 0.525, 0.000)
Pt (0.750, 0.250, 0.500)
Cl (0.250, 0.750, 0.500)

Calculated values
Total moment, μB per formula unit: 0.000
Formation energy (no corrections), meV/atom: 222
Final energy, eV/atom: -4.075
Excess energy over the best structure of this formula in the dataset, eV/atom: 0.576
Space group: Immm (71)
Fermi-level density of states, states/eV/cell: 1.83

***

Entry 4:
DFT (GGA-PBE) results for GaCoAs2Br after structural relaxation.

Cell lengths 4.346, 4.346, 8.888 Å; angles 90.00, 90.00, 90.00 degrees
Element x y z (fractional)
As (0.000, 0.500, 0.000)
As (0.500, 0.000, 0.000)
Co (0.000, 0.000, 0.000)
Ga (0.500, 0.500, 0.500)
Br (0.000, 0.000, 0.500)

Calculated values
Total moment, μB per formula unit: 0.000
Formation energy (no corrections), meV/atom: 199
Final energy, eV/atom: -4.022
Excess energy over the best structure of this formula in the dataset, eV/atom: 0.000
Space group: P4/mmm (123)
Fermi-level density of states, states/eV/cell: 2.97